Record 1
Ac2La4TbSm (PBE, relaxed); crystal system = monoclinic; energy relative to the elements = 0.03 eV/atom; total magnetization = 0.0 μB/f.u.; volume = 37.84 Å³ per atom; calculated total energy = -4.6266 eV per atom
1.0
5.297 0.000 0.000
0.000 5.354 0.000
-0.023 0.000 10.673
Ac La Tb Sm
2 4 1 1
Cartesian
0.000 0.000 0.000
2.637 2.677 5.337
-0.014 2.677 8.008
2.627 0.000 7.985
2.647 0.000 2.689
5.288 2.677 2.665
-0.011 0.000 5.337
2.648 2.677 0.000



Record 2
ReSeCl (PBE, relaxed); crystal system = monoclinic; total magnetization = 0.0 μB/f.u.; ΔE to the lowest computed polymorph = 676 meV/atom; volume = 25.17 Å³ per atom; calculated total energy = -5.8224 eV per atom; E_form (uncorrected) = 0.104 eV/atom
1.0
4.684 0.000 0.000
0.000 4.635 0.000
-1.552 0.000 6.957
Re Se Cl
2 2 2
Cartesian
-0.003 1.159 0.539
3.135 3.476 6.418
0.008 3.476 1.878
3.123 1.159 5.079
0.790 3.476 5.729
2.342 1.159 1.228



Record 3
TiHPd2 (PBE, relaxed); crystal system = cubic; total magnetization = 0.0 μB/f.u.; ΔE to the lowest computed polymorph = 331 meV/atom; volume = 13.38 Å³ per atom; calculated total energy = -5.3294 eV per atom
1.0
0.000 2.991 2.991
2.991 0.000 2.991
2.991 2.991 0.000
Ti H Pd
1 1 2
Cartesian
0.000 0.000 0.000
2.991 2.991 2.991
1.495 1.495 1.495
4.486 4.486 4.486



Record 4
GaHg2Ir2 (PBE, relaxed); crystal system = tetragonal; energy relative to the elements = 0.09 eV/atom; total magnetization = 0.0 μB/f.u.; volume = 18.47 Å³ per atom; calculated total energy = -4.1812 eV per atom
1.0
6.443 0.000 0.000
0.000 6.443 0.000
0.000 0.000 4.449
Ga Hg Ir
2 4 4
Cartesian
0.000 0.000 0.000
3.221 3.221 0.000
1.080 2.141 2.225
2.141 5.362 2.225
4.301 1.080 2.225
5.362 4.301 2.225
0.908 4.130 0.000
2.313 0.908 0.000
4.130 5.534 0.000
5.534 2.313 0.000



Record 5
CrCdAg2 (PBE, relaxed); crystal system = monoclinic; energy relative to the elements = 0.26 eV/atom; total magnetization = 4.1 μB/f.u.; volume = 18.34 Å³ per atom; calculated total energy = -3.7976 eV per atom
1.0
4.890 -1.566 0.000
4.890 1.566 0.000
-1.159 0.000 4.793
Cr Cd Ag
1 1 2
Cartesian
0.000 0.000 0.000
7.039 0.000 1.255
1.598 0.000 3.670
4.338 0.000 2.426



Record 6
TbLuW4 (PBE, relaxed); crystal system = cubic; energy relative to the elements = 0.12 eV/atom; total magnetization = 0.0 μB/f.u.; volume = 19.87 Å³ per atom; calculated total energy = -10.0372 eV per atom
1.0
0.000 3.907 3.907
3.907 0.000 3.907
3.907 3.907 0.000
Tb Lu W
1 1 4
Cartesian
0.000 0.000 0.000
5.860 5.860 5.860
2.930 2.930 2.930
4.883 4.883 2.930
4.883 2.930 4.883
2.930 4.883 4.883



Record 7
Nd8P3HS4 (PBE, relaxed); crystal system = trigonal; total magnetization = 0.0 μB/f.u.; volume = 24.13 Å³ per atom; calculated total energy = -6.2992 eV per atom
1.0
4.088 2.360 6.670
-4.088 2.360 6.670
0.000 -4.720 6.670
Nd P H S
8 3 1 4
Cartesian
-2.090 -1.207 11.675
0.000 -2.414 8.336
-2.090 1.207 8.336
0.000 0.000 4.959
0.000 0.000 15.052
2.090 -1.207 11.675
0.000 2.414 11.675
2.090 1.207 8.336
-4.088 0.000 10.005
-2.044 1.180 3.335
2.044 1.180 3.335
0.000 0.000 10.005
0.000 0.000 0.000
-2.044 -1.180 6.670
-2.044 1.180 13.341
0.000 2.360 6.670



Record 8
Th6Tc2Sb (PBE, relaxed); crystal system = monoclinic; total magnetization = 0.0 μB/f.u.; ΔE to the lowest computed polymorph = 0 meV/atom; volume = 28.40 Å³ per atom; calculated total energy = -7.9180 eV per atom; E_form (uncorrected) = -0.210 eV/atom
1.0
5.482 -2.511 0.000
5.482 2.511 0.000
-1.124 0.000 9.285
Th Tc Sb
6 2 1
Cartesian
0.442 0.000 3.278
2.332 0.000 8.249
3.912 0.000 3.166
5.927 0.000 6.119
7.508 0.000 1.035
9.397 0.000 6.006
2.214 0.000 5.684
7.625 0.000 3.601
0.000 0.000 0.000



Record 9
P2S2F (PBE, relaxed); crystal system = tetragonal; total magnetization = 0.0 μB/f.u.; ΔE to the lowest computed polymorph = 251 meV/atom; volume = 18.49 Å³ per atom; calculated total energy = -3.3570 eV per atom; E_form (uncorrected) = 0.832 eV/atom
1.0
4.547 0.000 0.000
0.000 4.547 0.000
0.000 0.000 4.472
P S F
2 2 1
Cartesian
0.000 2.273 0.000
2.273 0.000 0.000
0.000 0.000 0.000
0.000 0.000 2.236
2.273 2.273 2.236



Record 10
BaLa2Se4 (PBE, relaxed); crystal system = orthorhombic; total magnetization = 0.0 μB/f.u.; ΔE to the lowest computed polymorph = 22 meV/atom; volume = 33.14 Å³ per atom; calculated total energy = -5.7116 eV per atom; E_form (uncorrected) = -2.038 eV/atom
1.0
2.198 -7.230 0.000
2.198 7.230 0.000
0.000 0.000 14.595
Ba La Se
2 4 8
Cartesian
2.198 5.616 10.947
2.198 -5.616 3.649
2.198 1.932 8.296
2.198 1.932 13.597
2.198 -1.932 0.999
2.198 -1.932 6.299
0.000 0.000 0.000
0.000 0.000 7.298
2.198 3.360 1.678
2.198 3.360 5.620
2.198 0.722 10.947
2.198 -0.722 3.649
2.198 -3.360 8.976
2.198 -3.360 12.918



Record 11
Sc6Tl5Ir (PBE, relaxed); crystal system = monoclinic; energy relative to the elements = -0.36 eV/atom; total magnetization = 0.0 μB/f.u.; volume = 22.35 Å³ per atom; calculated total energy = -5.2532 eV per atom
1.0
7.916 -3.549 0.000
7.916 3.549 0.000
-1.579 0.000 4.774
Sc Tl Ir
6 5 1
Cartesian
4.970 1.928 1.665
7.916 1.977 0.000
9.282 1.928 3.109
4.970 -1.928 1.665
7.916 -1.977 0.000
9.282 -1.928 3.109
2.605 0.000 0.872
3.995 0.000 3.990
7.126 0.000 2.387
10.257 0.000 0.784
11.648 0.000 3.902
-0.790 0.000 2.387



Record 12
Bi3IrPt (PBE, relaxed); crystal system = cubic; energy relative to the elements = 0.73 eV/atom; total magnetization = 0.0 μB/f.u.; ΔE to the lowest computed polymorph = 768 meV/atom; volume = 29.20 Å³ per atom; calculated total energy = -4.5777 eV per atom
1.0
5.266 0.000 0.000
0.000 5.266 0.000
0.000 0.000 5.266
Bi Ir Pt
3 1 1
Cartesian
0.000 0.000 2.633
0.000 2.633 0.000
2.633 0.000 0.000
0.000 0.000 0.000
2.633 2.633 2.633